# 1
MnNb6Mo2: optimized geometry, PBE.

Values from the calculation:
Magnetization, μB per formula unit: 0.000
Formation energy from the elements, eV per formula unit: 4.97
Calculated volume, Å³ per atom: 19.584

Cell: 7.4227 7.4227 7.4227 Å, 145.11 130.40 62.07°
With the nearest neighbours (Å) after each atom.
Fractional positions:
Mn (0.0000, 0.0000, 0.0000)  8 Nb 2.55-2.68
Nb (0.0805, 0.8383, 0.2422)  1 Mn 2.55, 3 Mo 2.67-2.74
Nb (0.2388, 0.5000, 0.7388)  2 Mo 2.66, 2 Mn 2.68, 1 Nb 2.97
Nb (0.4040, 0.1617, 0.2422)  1 Mn 2.55, 3 Mo 2.67-2.74
Nb (0.5960, 0.8383, 0.7578)  1 Mn 2.55, 3 Mo 2.67-2.74
Nb (0.7612, 0.5000, 0.2612)  2 Mo 2.66, 2 Mn 2.68, 1 Nb 2.97
Nb (0.9195, 0.1617, 0.7578)  1 Mn 2.55, 3 Mo 2.67-2.74
Mo (0.3345, 0.3345, 0.0000)  8 Nb 2.66-2.74
Mo (0.6655, 0.6655, 0.0000)  8 Nb 2.66-2.74

---

# 2
MnNb2Mo: optimized geometry, PBE.

Values from the calculation:
Magnetization, μB per formula unit: 2.496
Formation energy from the elements, eV per formula unit: 2.79
Calculated volume, Å³ per atom: 17.269

Cell: 5.8704 5.8704 5.8704 Å, 153.26 130.23 57.39°
With the nearest neighbours (Å) after each atom.
Fractional positions:
Mn (0.0000, 0.0000, 0.0000)  2 Nb 2.47, 2 Mn 2.72
Nb (0.2396, 0.2396, 0.0000)  1 Mn 2.47, 1 Mo 2.68, 2 Nb 2.72
Nb (0.7604, 0.7604, 0.0000)  1 Mn 2.47, 1 Mo 2.68, 2 Nb 2.72
Mo (0.5000, 0.5000, 0.0000)  2 Nb 2.68, 2 Mo 2.72, 4 Mn 2.82

---

# 3
MnNbMoPt: optimized geometry, PBE.

Values from the calculation:
Magnetization, μB per formula unit: 3.557
Formation energy from the elements, eV per formula unit: -0.54
Calculated volume, Å³ per atom: 15.789

Cell: 4.4700 4.4700 4.4700 Å, 60.00 60.00 60.00°
With the nearest neighbours (Å) after each atom.
Fractional positions:
Mn (0.0000, 0.0000, 0.0000)  4 Mo 2.74, 4 Pt 2.74
Nb (0.5000, 0.5000, 0.5000)  4 Mo 2.74, 4 Pt 2.74
Mo (0.7500, 0.7500, 0.7500)  4 Nb 2.74, 4 Mn 2.74
Pt (0.2500, 0.2500, 0.2500)  4 Nb 2.74, 4 Mn 2.74

---

# 4
RbMnNb2Mo: optimized geometry, PBE.

Values from the calculation:
Magnetization, μB per formula unit: 0.258
Formation energy from the elements, eV per formula unit: 6.87
Calculated volume, Å³ per atom: 21.938

Cell: 4.8223 4.8223 4.7168 Å, 90.00 90.00 90.00°
With the nearest neighbours (Å) after each atom.
Fractional positions:
Rb (0.0000, 0.0000, 0.0000)  8 Nb 3.37, 4 Mo 3.41
Mn (0.5000, 0.5000, 0.5000)  2 Mo 2.36, 4 Nb 2.41
Nb (0.0000, 0.5000, 0.5000)  2 Mn 2.41
Nb (0.5000, 0.0000, 0.5000)  2 Mn 2.41
Mo (0.5000, 0.5000, 0.0000)  2 Mn 2.36

---

# 5
MnNbReMo: optimized geometry, PBE.

Values from the calculation:
Magnetization, μB per formula unit: 1.329
Formation energy from the elements, eV per formula unit: -0.06
Calculated volume, Å³ per atom: 15.281

Cell: 4.4215 4.4215 4.4215 Å, 60.00 60.00 60.00°
With the nearest neighbours (Å) after each atom.
Fractional positions:
Mn (0.0000, 0.0000, 0.0000)  4 Nb 2.71, 4 Mo 2.71
Nb (0.2500, 0.2500, 0.2500)  4 Mn 2.71, 4 Re 2.71
Re (0.5000, 0.5000, 0.5000)  4 Nb 2.71, 4 Mo 2.71
Mo (0.7500, 0.7500, 0.7500)  4 Mn 2.71, 4 Re 2.71

---

# 6
MnNbMoRh: optimized geometry, PBE.

Values from the calculation:
Magnetization, μB per formula unit: 3.092
Formation energy from the elements, eV per formula unit: -0.36
Calculated volume, Å³ per atom: 15.352

Cell: 4.4284 4.4284 4.4284 Å, 60.00 60.00 60.00°
With the nearest neighbours (Å) after each atom.
Fractional positions:
Mn (0.0000, 0.0000, 0.0000)  4 Rh 2.71, 4 Mo 2.71
Nb (0.5000, 0.5000, 0.5000)  4 Rh 2.71, 4 Mo 2.71
Mo (0.2500, 0.2500, 0.2500)  4 Mn 2.71, 4 Nb 2.71
Rh (0.7500, 0.7500, 0.7500)  4 Nb 2.71, 4 Mn 2.71

---

# 7
Mn2NbMoS: optimized geometry, PBE.

Values from the calculation:
Magnetization, μB per formula unit: 0.735
ΔE_f (raw), eV/f.u.: 1.96
Calculated volume, Å³ per atom: 15.140

Cell: 4.0631 4.0631 4.5853 Å, 90.00 90.00 90.00°
With the nearest neighbours (Å) after each atom.
Fractional positions:
Mn (0.0000, 0.5000, 0.0000)  2 S 2.03
Mn (0.5000, 0.0000, 0.0000)  2 S 2.03
Nb (0.0000, 0.0000, 0.5000)  2 S 2.29
Mo (0.5000, 0.5000, 0.5000)  4 Nb 2.87, 8 Mn 3.06
S (0.0000, 0.0000, 0.0000)  4 Mn 2.03

---

# 8
MnNbSnMo2: optimized geometry, PBE.

Values from the calculation:
Magnetization, μB per formula unit: 0.868
Formation energy from the elements, eV per formula unit: 10.41
Calculated volume, Å³ per atom: 23.080
Offset from the most stable computed form, eV/atom: 0.190

Cell: 4.6982 4.6982 5.2279 Å, 90.00 90.00 90.00°
With the nearest neighbours (Å) after each atom.
Fractional positions:
Mn (0.0000, 0.0000, 0.0000)  4 Sn 3.32, 8 Mo 3.51
Nb (0.5000, 0.5000, 0.5000)  4 Mo 2.35, 2 Sn 2.61
Sn (0.5000, 0.5000, 0.0000)  2 Nb 2.61
Mo (0.0000, 0.5000, 0.5000)  2 Nb 2.35
Mo (0.5000, 0.0000, 0.5000)  2 Nb 2.35

---

# 9
MnNbSnMo2: optimized geometry, PBE.

Values from the calculation:
Magnetization, μB per formula unit: 3.032
Formation energy from the elements, eV per formula unit: 9.46
Calculated volume, Å³ per atom: 21.960
Offset from the most stable computed form, eV/atom: 0.000

Cell: 4.9074 4.9074 4.5594 Å, 90.00 90.00 90.00°
With the nearest neighbours (Å) after each atom.
Fractional positions:
Mn (0.0000, 0.0000, 0.0000)  2 Sn 2.28
Nb (0.5000, 0.5000, 0.0000)  8 Mo 3.35, 4 Mn 3.47
Sn (0.0000, 0.0000, 0.5000)  2 Mn 2.28, 4 Mo 2.45
Mo (0.0000, 0.5000, 0.5000)  2 Sn 2.45
Mo (0.5000, 0.0000, 0.5000)  2 Sn 2.45

---

# 10
TaMnNbMo: optimized geometry, PBE.

Values from the calculation:
Magnetization, μB per formula unit: 0.000
Formation energy from the elements, eV per formula unit: -0.53
Calculated volume, Å³ per atom: 15.746
Offset from the most stable computed form, eV/atom: 0.002

Cell: 3.1579 3.1579 6.3160 Å, 90.00 90.00 90.00°
With the nearest neighbours (Å) after each atom.
Fractional positions:
Ta (0.0000, 0.0000, 0.0000)  4 Mn 2.70, 4 Mo 2.77
Mn (0.5000, 0.5000, 0.2404)  4 Ta 2.70, 4 Nb 2.71
Nb (0.0000, 0.0000, 0.4831)  4 Mn 2.71, 4 Mo 2.76
Mo (0.5000, 0.5000, 0.7413)  4 Nb 2.76, 4 Ta 2.77

---

# 11
TaMnNbMo: optimized geometry, PBE.

Values from the calculation:
Magnetization, μB per formula unit: 0.000
Formation energy from the elements, eV per formula unit: -0.54
Calculated volume, Å³ per atom: 15.731
Offset from the most stable computed form, eV/atom: 0.000

Cell: 4.4645 4.4645 4.4645 Å, 60.00 60.00 60.00°
With the nearest neighbours (Å) after each atom.
Fractional positions:
Ta (0.0000, 0.0000, 0.0000)  4 Mn 2.73, 4 Mo 2.73
Mn (0.2500, 0.2500, 0.2500)  4 Ta 2.73, 4 Nb 2.73
Nb (0.5000, 0.5000, 0.5000)  4 Mn 2.73, 4 Mo 2.73
Mo (0.7500, 0.7500, 0.7500)  4 Ta 2.73, 4 Nb 2.73

---

# 12
MnNbTcMo: optimized geometry, PBE.

Values from the calculation:
Magnetization, μB per formula unit: 0.077
Formation energy from the elements, eV per formula unit: -0.07
Calculated volume, Å³ per atom: 14.933

Cell: 4.3878 4.3878 4.3878 Å, 60.00 60.00 60.00°
With the nearest neighbours (Å) after each atom.
Fractional positions:
Mn (0.0000, 0.0000, 0.0000)  4 Nb 2.69, 4 Mo 2.69
Nb (0.2500, 0.2500, 0.2500)  4 Tc 2.69, 4 Mn 2.69
Tc (0.5000, 0.5000, 0.5000)  4 Mo 2.69, 4 Nb 2.69
Mo (0.7500, 0.7500, 0.7500)  4 Tc 2.69, 4 Mn 2.69